5
Lattice="5.323 0.000 0.000 0.000 5.323 0.000 0.000 0.000 5.323" Properties=species:S:1:pos:R:3 comment="Na3PIr, relaxed, DFT GGA-PBE" polymorph_energy_kj_per_mol_atoms=0.00 m_tot_mub_per_fu=3.0 final_energy_ev_per_atom=-2.746 formation_energy_ev_per_fu=4.5 pbc="T T T"
Na 0.000 0.000 2.662
Na 0.000 2.662 0.000
Na 2.662 0.000 0.000
P 0.000 0.000 0.000
Ir 2.662 2.662 2.662

=====

80
Lattice="-8.210 8.210 8.210 8.210 -8.210 8.210 8.210 8.210 -8.210" Properties=species:S:1:pos:R:3 comment="Ca3Ni5Te12, relaxed, DFT GGA-PBE" m_tot_mub_per_fu=0.0 final_energy_ev_per_atom=-4.036 formation_energy_uncorrected_mev_per_atom=-405 pbc="T T T"
Ca 4.105 2.053 0.000
Ca 8.210 4.105 -2.053
Ca 2.053 0.000 4.105
Ca 10.263 0.000 4.105
Ca 0.000 4.105 2.053
Ca 4.105 -2.053 8.210
Ca 4.105 10.263 0.000
Ca 8.210 4.105 6.158
Ca -2.053 8.210 4.105
Ca 6.158 8.210 4.105
Ca 0.000 4.105 10.263
Ca 4.105 6.158 8.210
Ni 0.000 0.000 0.000
Ni 4.105 4.105 -4.105
Ni 4.105 -4.105 4.105
Ni 8.210 0.000 0.000
Ni 12.315 2.053 0.000
Ni 8.210 -4.105 6.158
Ni 6.158 8.210 -4.105
Ni 6.158 0.000 4.105
Ni 4.105 6.158 0.000
Ni 8.210 4.105 2.053
Ni -4.105 4.105 4.105
Ni 0.000 8.210 0.000
Ni 0.000 0.000 8.210
Ni 4.105 4.105 4.105
Ni 0.000 4.105 6.158
Ni 4.105 2.053 8.210
Ni 2.053 8.210 4.105
Ni 2.053 0.000 12.315
Ni 0.000 12.315 2.053
Ni -4.105 6.158 8.210
Te 2.371 -0.542 0.926
Te 9.944 5.031 -4.647
Te 7.668 -0.926 2.371
Te 12.857 -1.734 3.179
Te 10.581 0.542 0.926
Te 9.944 -3.179 4.647
Te 0.926 2.371 -0.542
Te 11.389 3.563 -1.734
Te 5.031 4.647 -1.734
Te 7.284 2.371 0.542
Te -0.542 0.926 2.371
Te 4.647 -1.734 5.031
Te 7.668 7.284 -2.371
Te 4.647 1.734 3.179
Te 7.284 -2.371 7.668
Te 5.031 -4.647 9.944
Te 3.179 4.647 1.734
Te 9.136 5.839 0.542
Te 2.371 7.668 -0.926
Te 9.944 3.179 3.563
Te 4.647 9.944 -3.179
Te 7.668 0.926 5.839
Te 1.734 3.179 4.647
Te 2.371 0.542 7.284
Te 5.839 7.668 0.926
Te 6.476 5.031 3.563
Te 0.542 7.284 2.371
Te 3.563 -1.734 11.389
Te -1.734 5.031 4.647
Te 5.839 0.542 9.136
Te -0.926 2.371 7.668
Te 5.031 3.563 6.476
Te 3.179 12.857 -1.734
Te 0.926 10.581 0.542
Te 3.563 6.476 5.031
Te 0.542 0.926 10.581
Te 3.563 9.944 3.179
Te 8.752 7.284 5.839
Te 0.926 5.839 7.668
Te 3.179 3.563 9.944
Te -3.179 4.647 9.944
Te 7.284 5.839 8.752
Te -1.734 11.389 3.563
Te -2.371 7.668 7.284
Te -4.647 9.944 5.031
Te 0.542 9.136 5.839
Te -1.734 3.179 12.857
Te 5.839 8.752 7.284

=====

10
Lattice="6.701 0.000 0.000 0.000 6.701 0.000 0.000 0.000 3.892" Properties=species:S:1:pos:R:3 comment="Sc2ReGe2, relaxed, DFT GGA-PBE" m_tot_mub_per_fu=0.0 final_energy_ev_per_atom=-7.493 formation_energy_ev_per_fu=-3.1 pbc="T T T"
Sc 1.171 2.180 0.000
Sc 2.180 5.531 0.000
Sc 4.521 1.171 0.000
Sc 5.531 4.521 0.000
Re 0.000 0.000 1.946
Re 3.351 3.351 1.946
Ge 0.890 4.241 1.946
Ge 2.460 0.890 1.946
Ge 4.241 5.811 1.946
Ge 5.811 2.460 1.946

=====

4
Lattice="3.024 -4.911 0.000 3.024 4.911 0.000 -0.884 0.000 2.918" Properties=species:S:1:pos:R:3 comment="ZrSc2Al, relaxed, DFT GGA-PBE" m_tot_mub_per_fu=0.0 final_energy_ev_per_atom=-6.348 formation_energy_ev_per_fu=-0.4 pbc="T T T"
Zr 0.000 0.000 0.000
Sc 1.070 2.456 1.459
Sc 1.070 -2.456 1.459
Al 3.024 0.000 0.000

=====

4
Lattice="2.813 0.000 0.000 0.000 4.343 0.000 -0.332 0.000 5.574" Properties=species:S:1:pos:R:3 comment="Li2OsPb, relaxed, DFT GGA-PBE" m_tot_mub_per_fu=0.3 final_energy_ev_per_atom=-4.356 formation_energy_ev_per_fu=1.3 pbc="T T T"
Li -0.074 0.000 1.606
Li 2.555 0.000 3.969
Os 1.241 2.172 2.787
Pb 1.406 2.172 0.000

=====

5
Lattice="5.042 0.000 0.000 0.000 5.042 0.000 0.000 0.000 5.969" Properties=species:S:1:pos:R:3 comment="VAgSb2I, relaxed, DFT GGA-PBE" polymorph_energy_kj_per_mol_atoms=0.00 m_tot_mub_per_fu=0.8 final_energy_ev_per_atom=-3.890 formation_energy_uncorrected_mev_per_atom=463 pbc="T T T"
V 0.000 0.000 0.000
Ag 2.521 2.521 2.985
Sb 0.000 2.521 0.000
Sb 2.521 0.000 0.000
I 0.000 0.000 2.985

=====

5
Lattice="5.323 0.000 0.000 0.000 5.323 0.000 0.000 0.000 5.427" Properties=species:S:1:pos:R:3 comment="GeAsSe2I, relaxed, DFT GGA-PBE" polymorph_energy_kj_per_mol_atoms=48.86 m_tot_mub_per_fu=0.0 final_energy_ev_per_atom=-2.507 formation_energy_uncorrected_mev_per_atom=1050 pbc="T T T"
Ge 0.000 0.000 0.000
As 2.662 2.662 0.000
Se 0.000 2.662 2.713
Se 2.662 0.000 2.713
I 2.662 2.662 2.713

=====

7
Lattice="4.106 0.000 0.000 -1.832 7.328 0.000 -2.024 -0.877 9.084" Properties=species:S:1:pos:R:3 comment="CeS2Br4, relaxed, DFT GGA-PBE" m_tot_mub_per_fu=0.4 final_energy_ev_per_atom=-3.948 formation_energy_uncorrected_mev_per_atom=-965 pbc="T T T"
Ce 0.000 0.000 0.000
S -0.662 2.691 4.447
S 0.912 3.760 4.637
Br -1.826 6.479 2.569
Br -1.803 4.529 8.435
Br 2.053 1.922 0.649
Br 2.076 -0.028 6.514